(1)
Ce2PaN: optimized geometry, GGA-PBE.

abc: 8.672 8.672 8.672
angles: 22.61 22.61 22.61
Fractional positions:
1 Ce 0.225 0.225 0.225
2 Ce 0.775 0.775 0.775
3 Pa 0.000 0.000 0.000
4 N 0.500 0.500 0.500

Output
Crystal system ... trigonal
Formation energy from raw total energies ... -60.08 kJ/mol of atoms


(2)
IrC: optimized geometry, GGA-PBE.

abc: 2.852 2.852 6.321
angles: 90.00 90.00 120.00
Fractional positions:
1 Ir 0.333 0.667 0.305
2 Ir 0.667 0.333 0.695
3 C 0.000 0.000 0.112
4 C 0.000 0.000 0.888

Output
ΔH_f (0 K) ... 0.46 eV/atom
Crystal system ... trigonal


(3)
BeCr2Br: optimized geometry, GGA-PBE.

abc: 3.077 3.077 6.139
angles: 90.00 90.00 90.00
Fractional positions:
1 Be 0.000 0.000 0.000
2 Cr 0.000 0.000 0.620
3 Cr 0.500 0.500 0.838
4 Br 0.500 0.500 0.278

Output
Crystal system ... tetragonal
Formation energy from raw total energies ... 44.13 kJ/mol of atoms


no.,excess energy over the best structure of this formula in the dataset (meV per atom)
1,0
2,0
3,79